1.
# La2InBr

A PBEsol-optimized structure of La2InBr (meta-GGA SCAN, Alexandria via LeMat-Bulk).

Geometry as POSCAR:
```
La2InBr
1.0
3.7475 0.0000 0.0000
0.0000 3.7615 0.0000
-0.0095 0.0000 8.8040
La In Br
2 1 1
direct
0.0005 0.0000 0.2263
0.9995 0.0000 0.7737
0.5000 0.5000 0.0000
0.0000 0.5000 0.5000
```

Values from the calculation:
- Raw formation energy: -1.05 eV per atom
- DFT total energy: -35.8132 eV per atom
- Space group: No. 10

=====

2.
# ZrMn6Sn6

A PBEsol-optimized structure of ZrMn6Sn6 (meta-GGA SCAN, Alexandria via LeMat-Bulk).

Geometry as POSCAR:
```
ZrMn6Sn6
1.0
5.3167 0.0000 0.0000
-2.6583 4.6044 0.0000
0.0000 0.0000 8.8050
Zr Mn Sn
1 6 6
direct
0.0000 0.0000 0.0000
0.0000 0.5000 0.2473
0.0000 0.5000 0.7527
0.5000 0.0000 0.2473
0.5000 0.0000 0.7527
0.5000 0.5000 0.2473
0.5000 0.5000 0.7527
0.0000 0.0000 0.3285
0.0000 0.0000 0.6715
0.3333 0.6667 0.0000
0.3333 0.6667 0.5000
0.6667 0.3333 0.0000
0.6667 0.3333 0.5000
```

Values from the calculation:
- Formation enthalpy at 0 K: -0.209 eV/atom
- DFT total energy: -27.5752 eV per atom
- Space group: No. 191

=====

3.
# Sc2ReRh

A PBEsol-optimized structure of Sc2ReRh (meta-GGA SCAN, Alexandria via LeMat-Bulk).

Geometry as POSCAR:
```
Sc2ReRh
1.0
-1.5757 2.2097 4.7538
1.5757 -2.2097 4.7538
1.5757 2.2097 -4.7538
Sc Re Rh
2 1 1
direct
0.0000 0.0000 0.0000
0.7300 0.2300 0.5000
0.4783 0.4783 0.0000
0.2504 0.7504 0.5000
```

Values from the calculation:
- Formation enthalpy at 0 K: -0.419 eV/atom
- DFT total energy: -33.7553 eV per atom
- Space group: No. 44